No. 1
Crystalline TmTiBO5 at its relaxed geometry, computed with PBE.

a = 5.229 Å, b = 5.229 Å, c = 6.817 Å
α = 103.22°, β = 103.22°, γ = 106.51°
Fractional positions:
O: 0.112 0.673 0.870
O: 0.327 0.888 0.630
Tm: 0.342 0.658 0.250
O: 0.399 0.261 0.090
O: 0.261 0.399 0.590
B: 0.680 0.320 0.250
O: 0.085 0.915 0.250
O: 0.915 0.085 0.750
O: 0.888 0.327 0.130
Ti: 0.000 0.000 0.500
B: 0.320 0.680 0.750
Ti: 0.000 0.000 0.000
O: 0.601 0.739 0.910
O: 0.739 0.601 0.410
O: 0.673 0.112 0.370
Tm: 0.658 0.342 0.750

## Properties
Space group ... C2/c
ΔE_f (raw) ... -3017 meV per atom
Density of states at the Fermi level ... 0.000 states/eV per atom


No. 2
Crystalline YTiBO5 at its relaxed geometry, computed with PBE.

a = 5.272 Å, b = 5.272 Å, c = 6.858 Å
α = 103.21°, β = 103.21°, γ = 106.50°
Fractional positions:
B: 0.681 0.319 0.250
O: 0.082 0.918 0.250
O: 0.885 0.322 0.127
Ti: 0.000 0.000 0.000
O: 0.918 0.082 0.750
O: 0.400 0.257 0.093
O: 0.600 0.743 0.907
O: 0.257 0.400 0.593
O: 0.322 0.885 0.627
Ti: 0.000 0.000 0.500
Y: 0.658 0.342 0.750
B: 0.319 0.681 0.750
Y: 0.342 0.658 0.250
O: 0.115 0.678 0.873
O: 0.743 0.600 0.407
O: 0.678 0.115 0.373

## Properties
Space group ... C2/c
ΔE_f (raw) ... -2994 meV per atom
Density of states at the Fermi level ... 0.000 states/eV per atom


No. 3
Crystalline TlB2O2 at its relaxed geometry, computed with PBE.

a = 7.170 Å, b = 7.170 Å, c = 2.526 Å
α = 90.00°, β = 90.00°, γ = 90.00°
Site moments in Bohr magnetons follow the coordinates.
Fractional positions:
B: 0.414 0.914 0.000  0.17
B: 0.086 0.414 0.000  0.17
O: 0.606 0.894 0.500  0.10
O: 0.894 0.394 0.500  0.09
Tl: 0.000 0.000 0.000  0.04
O: 0.106 0.606 0.500  0.09
O: 0.394 0.106 0.500  0.10
B: 0.914 0.586 0.000  0.17
B: 0.586 0.086 0.000  0.17
Tl: 0.500 0.500 0.000  0.04

## Properties
Space group ... P4/mbm
Polymorph energy (0 for the lowest one) ... 0.188 eV per atom
ΔE_f (raw) ... 801 meV per atom
Density of states at the Fermi level ... 0.148 states/eV per atom


No. 4
Crystalline TlBO3 at its relaxed geometry, computed with PBE.

a = 3.493 Å, b = 4.716 Å, c = 4.587 Å
α = 64.53°, β = 83.03°, γ = 78.56°
Fractional positions:
B: 0.448 0.489 0.480
O: 0.524 0.206 0.755
O: 0.154 0.730 0.487
O: 0.611 0.523 0.175
Tl: 0.070 0.860 0.910

## Properties
Space group ... P1
ΔE_f (raw) ... -1448 meV per atom


No. 5
Crystalline Tl2BO at its relaxed geometry, computed with PBE.

a = 4.635 Å, b = 4.635 Å, c = 4.635 Å
α = 60.00°, β = 60.00°, γ = 60.00°
Site moments in Bohr magnetons follow the coordinates.
Fractional positions:
O: 0.500 0.500 0.500  0.27
Tl: 0.750 0.750 0.750  0.02
B: 0.000 0.000 0.000  0.23
Tl: 0.250 0.250 0.250  0.02

## Properties
Space group ... Fm-3m
Polymorph energy (0 for the lowest one) ... 0.525 eV per atom
ΔE_f (raw) ... 884 meV per atom
Density of states at the Fermi level ... 0.473 states/eV per atom


No. 6
Crystalline TlBO2 at its relaxed geometry, computed with PBE.

a = 4.083 Å, b = 5.788 Å, c = 5.790 Å
α = 66.27°, β = 89.94°, γ = 89.93°
Fractional positions:
O: 0.518 0.919 0.825
Tl: 0.517 0.804 0.435
Tl: 0.018 0.468 0.099
O: 0.517 0.321 0.746
O: 0.017 0.078 0.985
B: 0.268 0.120 0.783
B: 0.768 0.120 0.783
O: 0.018 0.158 0.582

## Properties
Space group ... C2
Polymorph energy (0 for the lowest one) ... 0.115 eV per atom
ΔE_f (raw) ... -1731 meV per atom
Density of states at the Fermi level ... 0.000 states/eV per atom


No. 7
Crystalline Tl2BO at its relaxed geometry, computed with PBE.

a = 5.448 Å, b = 5.448 Å, c = 6.665 Å
α = 65.88°, β = 65.88°, γ = 90.00°
Fractional positions:
Tl: 0.375 0.381 0.750
Tl: 0.619 0.125 0.250
B: 0.500 0.500 0.000
Tl: 0.131 0.625 0.250
B: 0.250 0.750 0.500
Tl: 0.875 0.869 0.750
O: 0.750 0.250 0.500
O: 0.000 0.000 0.000

## Properties
Space group ... I-42d
Polymorph energy (0 for the lowest one) ... 0.000 eV per atom
ΔE_f (raw) ... 358 meV per atom
Density of states at the Fermi level ... 0.742 states/eV per atom


No. 8
Crystalline TlB3O at its relaxed geometry, computed with PBE.

a = 4.506 Å, b = 4.506 Å, c = 4.506 Å
α = 90.00°, β = 90.00°, γ = 90.00°
Fractional positions:
O: 0.500 0.500 0.500
B: 0.000 0.500 0.000
B: 0.000 0.000 0.500
Tl: 0.000 0.000 0.000
B: 0.500 0.000 0.000

## Properties
Space group ... Pm-3m
Polymorph energy (0 for the lowest one) ... 0.966 eV per atom
ΔE_f (raw) ... 2817 meV per atom
Density of states at the Fermi level ... 0.473 states/eV per atom


No. 9
Crystalline TlB4O7 at its relaxed geometry, computed with PBE.

a = 4.276 Å, b = 4.505 Å, c = 10.981 Å
α = 90.00°, β = 90.00°, γ = 90.00°
Fractional positions:
B: 0.593 0.675 0.879
Tl: 0.104 0.182 0.000
O: 0.420 0.874 0.218
Tl: 0.604 0.818 0.500
B: 0.568 0.173 0.748
O: 0.920 0.126 0.282
O: 0.026 0.638 0.646
O: 0.420 0.874 0.782
O: 0.526 0.362 0.146
B: 0.068 0.827 0.752
B: 0.093 0.325 0.621
B: 0.068 0.827 0.248
O: 0.989 0.242 0.500
B: 0.093 0.325 0.379
O: 0.425 0.265 0.637
O: 0.925 0.735 0.863
O: 0.425 0.265 0.363
B: 0.593 0.675 0.121
B: 0.568 0.173 0.252
O: 0.920 0.126 0.718
O: 0.026 0.638 0.354
O: 0.526 0.362 0.854
O: 0.489 0.758 0.000
O: 0.925 0.735 0.137

## Properties
Space group ... Pmn2_1
ΔE_f (raw) ... -2073 meV per atom
Density of states at the Fermi level ... 0.236 states/eV per atom


No. 10
Crystalline Tl3BO3 at its relaxed geometry, computed with PBE.

a = 5.431 Å, b = 7.498 Å, c = 7.498 Å
α = 104.25°, β = 90.00°, γ = 90.00°
Fractional positions:
Tl: 0.750 0.430 0.179
Tl: 0.250 0.104 0.896
O: 0.250 0.851 0.415
Tl: 0.250 0.570 0.821
Tl: 0.250 0.179 0.430
O: 0.750 0.106 0.894
O: 0.750 0.415 0.851
B: 0.250 0.771 0.229
Tl: 0.750 0.896 0.104
B: 0.750 0.229 0.771
O: 0.250 0.894 0.106
Tl: 0.750 0.821 0.570
O: 0.250 0.585 0.149
O: 0.750 0.149 0.585

## Properties
Space group ... Cmcm
ΔE_f (raw) ... -1226 meV per atom


No. 11
Crystalline TlB3O5 at its relaxed geometry, computed with PBE.

a = 6.785 Å, b = 6.785 Å, c = 9.233 Å
α = 81.00°, β = 81.00°, γ = 82.32°
Fractional positions:
O: 0.087 0.069 0.905
O: 0.896 0.285 0.598
Tl: 0.736 0.436 0.057
O: 0.104 0.391 0.751
B: 0.891 0.966 0.931
O: 0.788 0.912 0.362
B: 0.936 0.427 0.679
O: 0.285 0.896 0.098
O: 0.913 0.931 0.095
O: 0.198 0.404 0.310
B: 0.064 0.573 0.321
B: 0.183 0.208 0.270
O: 0.931 0.913 0.595
B: 0.034 0.109 0.569
O: 0.802 0.596 0.690
O: 0.715 0.104 0.902
O: 0.912 0.788 0.862
B: 0.817 0.792 0.730
Tl: 0.436 0.736 0.557
O: 0.104 0.715 0.402
B: 0.109 0.034 0.069
Tl: 0.564 0.264 0.443
O: 0.069 0.087 0.405
O: 0.596 0.802 0.190
O: 0.212 0.088 0.638
B: 0.573 0.064 0.821
O: 0.609 0.896 0.749
O: 0.088 0.212 0.138
B: 0.792 0.817 0.230
B: 0.427 0.936 0.179
O: 0.391 0.104 0.251
B: 0.966 0.891 0.431
Tl: 0.264 0.564 0.943
O: 0.404 0.198 0.810
O: 0.896 0.609 0.249
B: 0.208 0.183 0.770

## Properties
Space group ... C2/c
Polymorph energy (0 for the lowest one) ... 0.015 eV per atom
ΔE_f (raw) ... -2182 meV per atom
Density of states at the Fermi level ... 0.000 states/eV per atom


No. 12
Crystalline TlBO2 at its relaxed geometry, computed with PBE.

a = 7.626 Å, b = 7.626 Å, c = 9.472 Å
α = 90.00°, β = 90.00°, γ = 90.00°
Fractional positions:
Tl: 0.725 0.267 0.249
Tl: 0.021 0.731 0.156
O: 0.782 0.496 0.788
B: 0.857 0.539 0.918
O: 0.427 0.744 0.282
B: 0.539 0.143 0.668
Tl: 0.275 0.733 0.749
B: 0.143 0.461 0.418
B: 0.592 0.451 0.772
O: 0.496 0.218 0.538
B: 0.451 0.408 0.522
O: 0.553 0.967 0.687
O: 0.534 0.514 0.633
Tl: 0.731 0.979 0.906
O: 0.218 0.504 0.288
O: 0.466 0.486 0.133
O: 0.744 0.573 0.032
O: 0.967 0.447 0.437
O: 0.486 0.534 0.883
O: 0.256 0.427 0.532
B: 0.549 0.592 0.022
Tl: 0.269 0.021 0.406
O: 0.447 0.033 0.187
B: 0.461 0.857 0.168
Tl: 0.267 0.275 0.999
O: 0.504 0.782 0.038
Tl: 0.979 0.269 0.656
Tl: 0.733 0.725 0.499
O: 0.514 0.466 0.383
O: 0.573 0.256 0.782
B: 0.408 0.549 0.272
O: 0.033 0.553 0.937

## Properties
Space group ... P4_1
Polymorph energy (0 for the lowest one) ... 0.000 eV per atom
ΔE_f (raw) ... -1845 meV per atom
Density of states at the Fermi level ... 0.000 states/eV per atom